# 1
First-principles (PBE) data for a geometry-optimized LuZnInTe3 structure, as listed in the Open Quantum Materials Database.

## Properties
SG ... C2/m (12)
DFT total energy ... -3.63 eV/atom
Calculated density ... 6.56 g/cm³

CIF file:
```
data_LuZnInTe3
_chemical_formula_sum 'Lu2 Zn2 In2 Te6'
_space_group_name_H-M_alt 'P 1'
_space_group_IT_number 1
_space_group_name_Hall 'P 1'
_cell_length_a 9.915
_cell_length_b 9.915
_cell_length_c 9.207
_cell_angle_alpha 102.14
_cell_angle_beta 102.14
_cell_angle_gamma 24.99
loop_
_atom_site_label
_atom_site_fract_x
_atom_site_fract_y
_atom_site_fract_z
Lu1 0.172 0.172 0.078
Lu2 0.828 0.828 0.922
Zn1 0.466 0.466 0.780
Zn2 0.534 0.534 0.220
In1 0.133 0.133 0.570
In2 0.867 0.867 0.430
Te1 0.000 0.000 0.000
Te2 0.324 0.324 0.690
Te3 0.330 0.330 0.149
Te4 0.500 0.500 0.500
Te5 0.670 0.670 0.851
Te6 0.676 0.676 0.310
```


# 2
First-principles (PBE) data for a geometry-optimized Hf3CdCN structure, as listed in the Open Quantum Materials Database.

## Properties
SG ... P-3m1 (164)
DFT total energy ... -9.00 eV/atom
Calculated density ... 12.01 g/cm³

CIF file:
```
data_Hf3CdCN
_chemical_formula_sum 'Hf6 Cd2 C2 N2'
_space_group_name_H-M_alt 'P 1'
_space_group_IT_number 1
_space_group_name_Hall 'P 1'
_cell_length_a 3.284
_cell_length_b 3.284
_cell_length_c 19.949
_cell_angle_alpha 90.00
_cell_angle_beta 90.00
_cell_angle_gamma 120.00
loop_
_atom_site_label
_atom_site_fract_x
_atom_site_fract_y
_atom_site_fract_z
Hf1 0.000 0.000 0.000
Hf2 0.000 0.000 0.500
Hf3 0.333 0.667 0.123
Hf4 0.333 0.667 0.372
Hf5 0.667 0.333 0.628
Hf6 0.667 0.333 0.877
Cd1 0.000 0.000 0.246
Cd2 0.000 0.000 0.754
C1 0.333 0.667 0.570
C2 0.667 0.333 0.430
N1 0.333 0.667 0.934
N2 0.667 0.333 0.066
```


# 3
First-principles (PBE) data for a geometry-optimized CdNi3H structure, as listed in the Open Quantum Materials Database.

## Properties
SG ... P4/mmm (123)
DFT total energy ... -4.20 eV/atom
Calculated density ... 9.13 g/cm³

CIF file:
```
data_CdNi3H
_chemical_formula_sum 'Cd1 Ni3 H1'
_space_group_name_H-M_alt 'P 1'
_space_group_IT_number 1
_space_group_name_Hall 'P 1'
_cell_length_a 3.742
_cell_length_b 3.742
_cell_length_c 3.762
_cell_angle_alpha 90.00
_cell_angle_beta 90.00
_cell_angle_gamma 90.00
loop_
_atom_site_label
_atom_site_fract_x
_atom_site_fract_y
_atom_site_fract_z
Cd1 0.000 0.000 0.000
Ni1 0.000 0.500 0.500
Ni2 0.500 0.000 0.500
Ni3 0.500 0.500 0.000
H1 0.500 0.500 0.500
```


# 4
First-principles (PBE) data for a geometry-optimized HfNbAl2 structure, as listed in the Open Quantum Materials Database.

## Properties
SG ... F-43m (216)
DFT total energy ... -6.87 eV/atom
Calculated density ... 7.61 g/cm³

CIF file:
```
data_HfNbAl2
_chemical_formula_sum 'Hf1 Nb1 Al2'
_space_group_name_H-M_alt 'P 1'
_space_group_IT_number 1
_space_group_name_Hall 'P 1'
_cell_length_a 4.647
_cell_length_b 4.647
_cell_length_c 4.647
_cell_angle_alpha 60.00
_cell_angle_beta 60.00
_cell_angle_gamma 60.00
loop_
_atom_site_label
_atom_site_fract_x
_atom_site_fract_y
_atom_site_fract_z
Hf1 0.000 0.000 0.000
Nb1 0.750 0.750 0.750
Al1 0.250 0.250 0.250
Al2 0.500 0.500 0.500
```


# 5
First-principles (PBE) data for a geometry-optimized AlZnMo2 structure, as listed in the Open Quantum Materials Database.

## Properties
SG ... F-43m (216)
DFT total energy ... -6.66 eV/atom
Calculated density ... 7.82 g/cm³

CIF file:
```
data_AlZnMo2
_chemical_formula_sum 'Al1 Zn1 Mo2'
_space_group_name_H-M_alt 'P 1'
_space_group_IT_number 1
_space_group_name_Hall 'P 1'
_cell_length_a 4.403
_cell_length_b 4.403
_cell_length_c 4.403
_cell_angle_alpha 60.00
_cell_angle_beta 60.00
_cell_angle_gamma 60.00
loop_
_atom_site_label
_atom_site_fract_x
_atom_site_fract_y
_atom_site_fract_z
Al1 0.000 0.000 0.000
Zn1 0.750 0.750 0.750
Mo1 0.250 0.250 0.250
Mo2 0.500 0.500 0.500
```


# 6
First-principles (PBE) data for a geometry-optimized Tm2FeIr4C4 structure, as listed in the Open Quantum Materials Database.

## Properties
SG ... Fmmm (69)
DFT total energy ... -7.97 eV/atom
Calculated density ... 14.30 g/cm³

CIF file:
```
data_Tm2FeIr4C4
_chemical_formula_sum 'Tm2 Fe1 Ir4 C4'
_space_group_name_H-M_alt 'P 1'
_space_group_IT_number 1
_space_group_name_Hall 'P 1'
_cell_length_a 7.272
_cell_length_b 6.101
_cell_length_c 5.483
_cell_angle_alpha 77.56
_cell_angle_beta 55.02
_cell_angle_gamma 47.42
loop_
_atom_site_label
_atom_site_fract_x
_atom_site_fract_y
_atom_site_fract_z
Tm1 0.148 0.148 0.852
Tm2 0.852 0.852 0.148
Fe1 0.500 0.500 0.500
Ir1 0.000 0.000 0.500
Ir2 0.250 0.250 0.250
Ir3 0.500 0.500 0.000
Ir4 0.750 0.750 0.750
C1 0.229 0.513 0.487
C2 0.487 0.771 0.229
C3 0.513 0.229 0.771
C4 0.771 0.487 0.513
```


# 7
First-principles (PBE) data for a geometry-optimized HfBiAs2 structure, as listed in the Open Quantum Materials Database.

## Properties
SG ... F-43m (216)
DFT total energy ... -5.54 eV/atom
Calculated density ... 10.03 g/cm³

CIF file:
```
data_HfBiAs2
_chemical_formula_sum 'Hf1 Bi1 As2'
_space_group_name_H-M_alt 'P 1'
_space_group_IT_number 1
_space_group_name_Hall 'P 1'
_cell_length_a 5.011
_cell_length_b 5.011
_cell_length_c 5.011
_cell_angle_alpha 60.00
_cell_angle_beta 60.00
_cell_angle_gamma 60.00
loop_
_atom_site_label
_atom_site_fract_x
_atom_site_fract_y
_atom_site_fract_z
Hf1 0.000 0.000 0.000
Bi1 0.750 0.750 0.750
As1 0.250 0.250 0.250
As2 0.500 0.500 0.500
```


# 8
First-principles (PBE) data for a geometry-optimized Nb2CoAg structure, as listed in the Open Quantum Materials Database.

## Properties
SG ... F-43m (216)
Energy relative to the elements ... 0.408 eV per atom
DFT total energy ... -7.12 eV/atom
Calculated density ... 9.12 g/cm³

CIF file:
```
data_Nb2CoAg
_chemical_formula_sum 'Nb2 Co1 Ag1'
_space_group_name_H-M_alt 'P 1'
_space_group_IT_number 1
_space_group_name_Hall 'P 1'
_cell_length_a 4.495
_cell_length_b 4.495
_cell_length_c 4.495
_cell_angle_alpha 60.00
_cell_angle_beta 60.00
_cell_angle_gamma 60.00
loop_
_atom_site_label
_atom_site_fract_x
_atom_site_fract_y
_atom_site_fract_z
Nb1 0.000 0.000 0.000
Nb2 0.250 0.250 0.250
Co1 0.500 0.500 0.500
Ag1 0.750 0.750 0.750
```


# 9
First-principles (PBE) data for a geometry-optimized SiBPdAu structure, as listed in the Open Quantum Materials Database.

## Properties
SG ... F-43m (216)
DFT total energy ... -4.38 eV/atom
Calculated density ... 9.89 g/cm³

CIF file:
```
data_SiBPdAu
_chemical_formula_sum 'Si1 B1 Pd1 Au1'
_space_group_name_H-M_alt 'P 1'
_space_group_IT_number 1
_space_group_name_Hall 'P 1'
_cell_length_a 4.332
_cell_length_b 4.332
_cell_length_c 4.332
_cell_angle_alpha 60.00
_cell_angle_beta 60.00
_cell_angle_gamma 60.00
loop_
_atom_site_label
_atom_site_fract_x
_atom_site_fract_y
_atom_site_fract_z
Si1 0.000 0.000 0.000
B1 0.250 0.250 0.250
Pd1 0.750 0.750 0.750
Au1 0.500 0.500 0.500
```


# 10
First-principles (PBE) data for a geometry-optimized NaNdNO structure, as listed in the Open Quantum Materials Database.

## Properties
SG ... Pmma (51)
DFT total energy ... -6.11 eV/atom
Calculated density ... 4.61 g/cm³

CIF file:
```
data_NaNdNO
_chemical_formula_sum 'Na2 Nd2 N2 O2'
_space_group_name_H-M_alt 'P 1'
_space_group_IT_number 1
_space_group_name_Hall 'P 1'
_cell_length_a 4.813
_cell_length_b 4.005
_cell_length_c 7.366
_cell_angle_alpha 90.00
_cell_angle_beta 90.00
_cell_angle_gamma 90.00
loop_
_atom_site_label
_atom_site_fract_x
_atom_site_fract_y
_atom_site_fract_z
Na1 0.250 0.000 0.145
Na2 0.750 0.000 0.855
Nd1 0.250 0.500 0.689
Nd2 0.750 0.500 0.311
N1 0.250 0.500 0.363
N2 0.750 0.500 0.637
O1 0.250 0.000 0.835
O2 0.750 0.000 0.165
```


# 11
First-principles (PBE) data for a geometry-optimized HfBiNO2 structure, as listed in the Open Quantum Materials Database.

## Properties
SG ... Cm (8)
DFT total energy ... -8.18 eV/atom
Calculated density ... 9.84 g/cm³

CIF file:
```
data_HfBiNO2
_chemical_formula_sum 'Hf1 Bi1 N1 O2'
_space_group_name_H-M_alt 'P 1'
_space_group_IT_number 1
_space_group_name_Hall 'P 1'
_cell_length_a 4.139
_cell_length_b 4.139
_cell_length_c 4.279
_cell_angle_alpha 90.29
_cell_angle_beta 90.29
_cell_angle_gamma 86.75
loop_
_atom_site_label
_atom_site_fract_x
_atom_site_fract_y
_atom_site_fract_z
Hf1 0.000 0.000 0.000
Bi1 0.408 0.408 0.533
N1 0.050 0.050 0.488
O1 0.065 0.520 0.969
O2 0.520 0.065 0.969
```


# 12
First-principles (PBE) data for a geometry-optimized Ta4BiC3 structure, as listed in the Open Quantum Materials Database.

## Properties
SG ... P6_3/mmc (194)
DFT total energy ... -10.22 eV/atom
Calculated density ... 14.17 g/cm³

CIF file:
```
data_Ta4BiC3
_chemical_formula_sum 'Ta8 Bi2 C6'
_space_group_name_H-M_alt 'P 1'
_space_group_IT_number 1
_space_group_name_Hall 'P 1'
_cell_length_a 3.191
_cell_length_b 3.191
_cell_length_c 25.747
_cell_angle_alpha 90.00
_cell_angle_beta 90.00
_cell_angle_gamma 120.00
loop_
_atom_site_label
_atom_site_fract_x
_atom_site_fract_y
_atom_site_fract_z
Ta1 0.000 0.000 0.146
Ta2 0.000 0.000 0.354
Ta3 0.000 0.000 0.646
Ta4 0.000 0.000 0.854
Ta5 0.333 0.667 0.051
Ta6 0.333 0.667 0.449
Ta7 0.667 0.333 0.551
Ta8 0.667 0.333 0.949
Bi1 0.333 0.667 0.250
Bi2 0.667 0.333 0.750
C1 0.000 0.000 0.000
C2 0.000 0.000 0.500
C3 0.333 0.667 0.601
C4 0.333 0.667 0.899
C5 0.667 0.333 0.101
C6 0.667 0.333 0.399
```